Entry 1:
PmHoMnCd: relaxed, PBE.

Summary:
As for the energy relative to the elements: -1 meV/atom. The value obtained for the total energy is -4.855 eV per atom. As for the space group: F-43m. As for the total magnetization: 0.796 μB/atom.

Unit cell a=5.217 b=5.217 c=5.217 alpha=60.00 beta=60.00 gamma=60.00
Fractional coordinates of all 4 atoms:
Mn (0.750, 0.750, 0.750)
Ho (0.500, 0.500, 0.500)
Pm (0.000, 0.000, 0.000)
Cd (0.250, 0.250, 0.250)

***

Entry 2:
Pr5Ho12Er2: relaxed, PBE.

Summary:
As for the energy relative to the elements: 23 meV/atom. The value obtained for the total energy is -4.607 eV per atom. As for the space group: P-1. For the distance to the lowest polymorph of the same formula, the calculation gives 0 meV/atom. As for the total magnetization: 0.000 μB/atom.

Unit cell a=6.184 b=10.717 c=12.867 alpha=133.81 beta=94.68 gamma=84.40
Fractional coordinates of all 19 atoms:
Ho (0.525, 0.947, 0.606)
Ho (0.104, 0.792, 0.922)
Ho (0.318, 0.368, 0.763)
Ho (0.630, 0.740, 0.027)
Ho (0.475, 0.053, 0.394)
Ho (0.896, 0.208, 0.078)
Ho (0.055, 0.896, 0.713)
Ho (0.789, 0.424, 0.660)
Ho (0.211, 0.576, 0.340)
Ho (0.945, 0.104, 0.287)
Ho (0.682, 0.632, 0.237)
Ho (0.370, 0.260, 0.973)
Er (0.580, 0.845, 0.819)
Er (0.420, 0.155, 0.181)
Pr (0.842, 0.315, 0.869)
Pr (0.737, 0.526, 0.447)
Pr (0.263, 0.474, 0.553)
Pr (0.158, 0.685, 0.131)
Pr (0.000, 0.000, 0.500)

***

Entry 3:
Ti3Ge2H: relaxed, PBE.

Summary:
The value obtained for the total energy is -6.599 eV per atom. As for the space group: Pnma. For the distance to the lowest polymorph of the same formula, the calculation gives 0 meV/atom. As for the total magnetization: 0.000 μB/atom.

Unit cell a=3.631 b=6.857 c=13.953 alpha=90.00 beta=90.00 gamma=90.00
Fractional coordinates of all 24 atoms:
Ti (0.750, 0.491, 0.606)
Ti (0.750, 0.664, 0.225)
Ti (0.250, 0.836, 0.725)
Ti (0.250, 0.336, 0.775)
Ti (0.250, 0.132, 0.569)
Ti (0.250, 0.009, 0.106)
Ti (0.250, 0.632, 0.931)
Ti (0.750, 0.164, 0.275)
Ti (0.750, 0.868, 0.431)
Ti (0.750, 0.368, 0.069)
Ti (0.750, 0.991, 0.894)
Ti (0.250, 0.509, 0.394)
Ge (0.750, 0.754, 0.047)
Ge (0.750, 0.605, 0.792)
Ge (0.250, 0.246, 0.953)
Ge (0.750, 0.254, 0.453)
Ge (0.250, 0.895, 0.292)
Ge (0.250, 0.746, 0.547)
Ge (0.750, 0.105, 0.708)
Ge (0.250, 0.395, 0.208)
H (0.250, 0.883, 0.865)
H (0.750, 0.617, 0.365)
H (0.250, 0.383, 0.635)
H (0.750, 0.117, 0.135)

***

Entry 4:
EuGdGeRh: relaxed, PBE.

Summary:
As for the energy relative to the elements: -545 meV/atom. The value obtained for the total energy is -9.626 eV per atom. As for the space group: F-43m. As for the total magnetization: 0.091 μB/atom.

Unit cell a=5.051 b=5.051 c=5.051 alpha=60.00 beta=60.00 gamma=60.00
Fractional coordinates of all 4 atoms:
Gd (0.500, 0.500, 0.500)
Ge (0.250, 0.250, 0.250)
Eu (0.000, 0.000, 0.000)
Rh (0.750, 0.750, 0.750)